# 1
## GaRe2 (PBE)

Data for crystalline GaRe2 at its relaxed geometry.

Geometry as POSCAR:
```
GaRe2
1.0
0.000 5.762 5.762
5.762 0.000 5.762
5.762 5.762 0.000
Ga Re
2 4
Direct
0.125 0.125 0.125
0.875 0.875 0.875
0.000 0.000 0.000
0.000 0.000 0.500
0.000 0.500 0.000
0.500 0.000 0.000
```

Calculated values
As for the symmetry: Fd-3m (227). Its volume is 382.7 Å³ per cell.


# 2
## GaRe6S2 (PBE)

Data for crystalline GaRe6S2 at its relaxed geometry.

Geometry as POSCAR:
```
GaRe6S2
1.0
0.000 4.296 4.296
4.296 0.000 4.296
4.296 4.296 0.000
Ga Re S
1 6 2
Direct
0.000 0.000 0.000
0.293 0.293 0.707
0.293 0.707 0.293
0.293 0.707 0.707
0.707 0.293 0.293
0.707 0.293 0.707
0.707 0.707 0.293
0.250 0.250 0.250
0.750 0.750 0.750
```

Calculated values
As for the symmetry: Fm-3m (225). Its volume is 158.5 Å³ per cell.


# 3
## GaReSb (PBE)

Data for crystalline GaReSb at its relaxed geometry.

Geometry as POSCAR:
```
GaReSb
1.0
0.000 3.130 3.130
3.130 0.000 3.130
3.130 3.130 0.000
Ga Re Sb
1 1 1
Direct
0.000 0.000 0.000
0.250 0.250 0.250
0.500 0.500 0.500
```

Calculated values
As for the symmetry: F-43m (216). The offset from the most stable computed form comes out at 0.000 eV/atom. Its volume is 61.3 Å³ per cell.


# 4
## ScGa2Re (PBE)

Data for crystalline ScGa2Re at its relaxed geometry.

Geometry as POSCAR:
```
ScGa2Re
1.0
0.000 3.183 3.183
3.183 0.000 3.183
3.183 3.183 0.000
Sc Ga Re
1 2 1
Direct
0.000 0.000 0.000
0.500 0.500 0.500
0.750 0.750 0.750
0.250 0.250 0.250
```

Calculated values
As for the symmetry: F-43m (216). Its volume is 64.5 Å³ per cell.


Number 1: energy -5.230 eV/atom. Number 2: energy -8.390 eV/atom. Number 3: energy -6.056 eV/atom. Number 4: energy -6.104 eV/atom.